A relaxed structure of FeSiB, computed with PBE.

Calculated values
M_tot in μB/cell: 0.00
Volume in Å³/atom: 10.199
Energy above the most stable polymorph in this dataset in eV per atom: 0.155
E_form (uncorrected) in eV per formula unit: -0.4
Fermi-level density of states in states/eV/atom: 0.16

Structure (CIF):
```
data_FeSiB
_chemical_formula_sum 'Fe2 Si2 B2'
_symmetry_space_group_name_H-M 'P 1'
_symmetry_Int_Tables_number 1
_cell_length_a 3.9756
_cell_length_b 3.9985
_cell_length_c 4.2464
_cell_angle_alpha 91.14
_cell_angle_beta 100.79
_cell_angle_gamma 111.97
loop_
_symmetry_equiv_pos_as_xyz
'x,y,z'
loop_
_atom_site_label
_atom_site_type_symbol
_atom_site_fract_x
_atom_site_fract_y
_atom_site_fract_z
Fe1 Fe 0.0000 0.0000 0.0000
Fe2 Fe 0.3610 0.8736 0.5628
Si1 Si 0.4119 0.6708 0.0715
Si2 Si 0.8199 0.4378 0.6976
B1 B 0.2584 0.3270 0.4216
B2 B 0.8723 0.9519 0.4561
```